DFT (PBEsol) results for a geometry-optimized LiVOF2 structure.

Calculated values
Its density of states at the Fermi level is 17.6 states/eV/cell. The value obtained for the uncorrected formation energy is -2.63 eV per atom.

a = 5.2473 Å, b = 8.7198 Å, c = 9.5949 Å
α = 90.14°, β = 98.47°, γ = 90.02°
Last column: nearest neighbours and their distance in Å.
Fractional positions:
1 Li 0.0000 0.0000 0.0000  4 F 1.84-1.95
2 Li 0.0073 0.5034 0.4854  2 F 1.87-1.89, 2 O 1.91-2.02
3 Li 0.1311 0.0021 0.3754  2 F 1.86-1.87, 2 O 1.91-1.98
4 Li 0.1414 0.5018 0.8610  4 F 1.85-1.93
5 Li 0.4976 0.8197 0.9947  3 F 1.86-1.90, 1 O 1.94
6 Li 0.5103 0.3277 0.4888  3 F 1.87-1.92, 1 O 2.04
7 Li 0.6317 0.8206 0.3748  2 F 1.86-1.88, 2 O 1.92-1.97
8 Li 0.6407 0.3262 0.8604  4 F 1.84-1.94
9 V 0.0719 0.1728 0.6725  1 O 1.94, 5 F 1.95-2.10
10 V 0.0818 0.3140 0.2010  3 O 1.81-1.93, 1 F 2.02
11 V 0.0883 0.6735 0.1934  2 O 1.84-1.93, 2 F 1.94-1.96
12 V 0.0926 0.8107 0.6611  4 O 1.78-1.98
13 V 0.5567 0.6657 0.6740  3 O 1.87-1.96, 2 F 1.99-2.00
14 V 0.5591 0.9798 0.6781  3 O 1.93-1.95, 3 F 2.04-2.11
15 V 0.5815 0.5077 0.1992  3 O 1.80-1.94, 1 F 2.02
16 V 0.5885 0.1484 0.1941  2 O 1.84-1.93, 2 F 1.94-1.97
17 O 0.2060 0.9969 0.5833  3 V 1.92-1.95, 1 Li 1.98
18 O 0.2297 0.6638 0.5661  2 V 1.78-1.87, 1 Li 1.91
19 O 0.4232 0.8235 0.7902  3 V 1.94-1.98, 1 Li 1.94
20 O 0.4236 0.6596 0.2812  2 V 1.80-1.84, 1 Li 1.92
21 O 0.4400 0.3251 0.2736  3 V 1.91-1.94, 1 Li 2.04
22 O 0.7307 0.8257 0.5807  3 V 1.93-1.96, 1 Li 1.97
23 O 0.9222 0.1633 0.2845  2 V 1.81-1.84, 1 Li 1.91
24 O 0.9389 0.4976 0.2724  3 V 1.91-1.93, 1 Li 2.02
25 F 0.1718 0.8214 0.0532  2 Li 1.84-1.88, 1 V 1.96
26 F 0.1856 0.3245 0.5466  2 Li 1.87, 1 V 1.95
27 F 0.2159 0.4999 0.0640  1 Li 1.93, 2 V 2.13-2.15
28 F 0.2168 0.1621 0.0707  1 Li 1.88, 1 V 2.02
29 F 0.4338 0.1617 0.7844  1 Li 1.88, 2 V 2.04
30 F 0.4554 0.9998 0.3156  2 Li 1.86-1.87, 1 V 1.94
31 F 0.4637 0.5025 0.8017  2 Li 1.84-1.86, 1 V 1.99
32 F 0.6716 0.0004 0.0527  2 Li 1.86-1.87, 1 V 1.97
33 F 0.6924 0.5027 0.5579  2 Li 1.87-1.89, 1 V 2.00
34 F 0.7056 0.1574 0.5752  1 Li 1.92, 2 V 2.01-2.05
35 F 0.7146 0.3212 0.0641  1 Li 1.94, 2 V 2.13-2.17
36 F 0.7181 0.6578 0.0689  1 Li 1.90, 1 V 2.02
37 F 0.9311 0.0021 0.7951  1 Li 1.95, 2 V 2.10-2.11
38 F 0.9311 0.6639 0.7876  1 Li 1.87, 1 V 2.03
39 F 0.9531 0.8249 0.3111  2 Li 1.86-1.88, 1 V 1.94
40 F 0.9666 0.3215 0.8076  2 Li 1.85, 1 V 1.97